Here is a relaxed PaCrH2O6 crystal from Alexandria via LeMat-Bulk. Energies are from PBE with a Hubbard U.

Computed properties:
Total magnetic moment ... 0.98 μB/cell
Calculated total energy ... -7.23 eV/atom
SG ... P-1, No. 2

Cell: 5.005 5.165 5.597 Å, 64.30 67.17 63.70°
Atoms (fractional coordinates):
Pa 0.000 0.000 0.000
Cr 0.500 0.500 0.500
H 0.377 0.217 0.304
H 0.623 0.783 0.696
O 0.175 0.406 0.721
O 0.247 0.867 0.264
O 0.437 0.742 0.727
O 0.563 0.258 0.273
O 0.753 0.133 0.736
O 0.825 0.594 0.279